PBEsol La3YTi, optimized geometry; total energy = -5.133 eV per atom; Fermi-level density of states = 10.8 states/eV per cell; calculated formation energy = 1103.9 meV per atom; space-group type = Pm-3m
1.0
5.678 0.000 0.000
0.000 5.678 0.000
0.000 0.000 5.678
La Y Ti
3 1 1
direct
0.000 0.000 0.500
0.000 0.500 0.000
0.500 0.000 0.000
0.000 0.000 0.000
0.500 0.500 0.500

PBEsol BaMo2Ru, optimized geometry; total energy = -8.070 eV per atom; Fermi-level density of states = 12.7 states/eV per cell; calculated formation energy = 894.1 meV per atom; space-group type = R3m
1.0
3.117 0.000 0.000
-1.559 2.700 0.000
0.000 0.000 27.873
Ba Mo Ru
3 6 3
direct
0.000 0.000 0.000
0.333 0.667 0.667
0.667 0.333 0.333
0.000 0.000 0.502
0.000 0.000 0.772
0.333 0.667 0.169
0.333 0.667 0.438
0.667 0.333 0.105
0.667 0.333 0.835
0.000 0.000 0.236
0.333 0.667 0.902
0.667 0.333 0.569

PBEsol TlSN2F, optimized geometry; total energy = -4.637 eV per atom; formation energy (no corrections) = 0.56 eV/atom; Fermi-level density of states = 2.4 states/eV per cell; space-group type = P4/mmm
1.0
3.489 0.000 0.000
0.000 3.489 0.000
0.000 0.000 5.718
Tl S N F
1 1 2 1
direct
0.000 0.000 0.000
0.500 0.500 0.500
0.000 0.500 0.500
0.500 0.000 0.500
0.500 0.500 0.000

PBEsol LaTlSiAg2, optimized geometry; total energy = -3.325 eV per atom; formation energy (no corrections) = 0.74 eV/atom; Fermi-level density of states = 3.6 states/eV per cell; space-group type = P4/mmm
1.0
5.030 0.000 0.000
0.000 5.030 0.000
0.000 0.000 5.942
La Tl Si Ag
1 1 1 2
direct
0.000 0.000 0.000
0.000 0.000 0.500
0.500 0.500 0.000
0.000 0.500 0.500
0.500 0.000 0.500

PBEsol LiCaSb3, optimized geometry; total energy = -3.737 eV per atom; formation energy (no corrections) = -0.18 eV/atom; Fermi-level density of states = 3.0 states/eV per cell; space-group type = Pm-3m
1.0
5.052 0.000 0.000
0.000 5.052 0.000
0.000 0.000 5.052
Li Ca Sb
1 1 3
direct
0.000 0.000 0.000
0.500 0.500 0.500
0.000 0.000 0.500
0.000 0.500 0.000
0.500 0.000 0.000

PBEsol CoSbOs2, optimized geometry; total energy = -8.736 eV per atom; formation energy (no corrections) = 0.45 eV/atom; Fermi-level density of states = 6.2 states/eV per cell; space-group type = Cm
1.0
8.792 0.000 0.000
0.000 2.877 0.000
-0.848 0.000 4.608
Co Sb Os
2 2 4
direct
0.000 0.000 0.000
0.500 0.500 0.000
0.250 0.500 0.238
0.750 0.000 0.238
0.008 0.500 0.549
0.254 0.000 0.755
0.508 0.000 0.549
0.754 0.500 0.755